(1)
VASP calculation (GGA-PBE) on an optimized crystal structure of LaTa2Rh.

a b c (Å): 4.734 4.734 4.734
angles (deg): 60.00 60.00 60.00
Element x y z (fractional)
La 0.500 0.500 0.500
Rh 0.000 0.000 0.000
Ta 0.250 0.250 0.250
Ta 0.750 0.750 0.750

Computed properties:
Symmetry = Fm-3m
ΔE to the lowest computed polymorph = 333 meV/atom
Formation energy = 261 meV/atom

=====

(2)
VASP calculation (GGA-PBE) on an optimized crystal structure of BaHg2P.

a b c (Å): 5.254 4.822 4.835
angles (deg): 83.21 90.00 90.00
Element x y z (fractional)
Ba 0.500 0.750 0.750
Hg 0.000 0.051 0.049
Hg 0.000 0.449 0.451
P 0.500 0.250 0.250

Computed properties:
Symmetry = P2/m
Formation energy = -325 meV/atom

=====

(3)
VASP calculation (GGA-PBE) on an optimized crystal structure of ThVCl6.

a b c (Å): 6.649 6.974 6.974
angles (deg): 60.11 90.27 89.73
Element x y z (fractional)
Th 0.500 0.021 0.021
V 0.000 0.021 0.021
Cl 0.778 0.735 0.306
Cl 0.222 0.306 0.735
Cl 0.226 0.021 0.307
Cl 0.226 0.735 0.021
Cl 0.774 0.021 0.735
Cl 0.774 0.307 0.021

Computed properties:
Symmetry = C2/m
Uncorrected formation energy = -1739 meV/atom